(1)
The following is a PBE-GGA calculation of a geometry-optimized ScTl2Cd structure, from the Alexandria database.

Its total magnetic moment is 0.001 μB/cell. The distance to the lowest polymorph of the same formula is 0.090 eV per atom. The electronic total energy comes out at -3.042 eV/atom. As for the formation energy: -0.2 eV/f.u. The calculation puts the density of states at the Fermi level at 0.933 states/eV per atom.

Unit cell a=3.4903 b=4.4467 c=6.4811 alpha=90.00 beta=90.00 gamma=90.00
Space group Pmm2 (No. 25)
Unique sites:
Sc (0.0000, 0.0000, 0.0000) [1 per cell]
Tl (0.0000, 0.0000, 0.5104) [1 per cell]
Tl (0.5000, 0.5000, 0.2277) [1 per cell]
Cd (0.5000, 0.5000, 0.7569) [1 per cell]

***

(2)
The following is a PBE-GGA calculation of a geometry-optimized ReHg2Mo structure, from the Alexandria database.

Its total magnetic moment is 0.000 μB/cell. The distance to the lowest polymorph of the same formula is 0.000 eV per atom. The electronic total energy comes out at -5.557 eV/atom. As for the formation energy: 1.7 eV/f.u. The calculation puts the density of states at the Fermi level at 0.673 states/eV per atom.

Unit cell a=3.0659 b=3.0659 c=8.1714 alpha=90.00 beta=90.00 gamma=90.00
Space group P4mm (No. 99)
Unique sites:
Re (0.0000, 0.0000, 0.0000) [1 per cell]
Hg (0.0000, 0.0000, 0.5624) [1 per cell]
Hg (0.5000, 0.5000, 0.2617) [1 per cell]
Mo (0.5000, 0.5000, 0.8299) [1 per cell]

***

(3)
The following is a PBE-GGA calculation of a geometry-optimized Cs3GaO3 structure, from the Alexandria database.

Its total magnetic moment is 0.000 μB/cell. The distance to the lowest polymorph of the same formula is 0.088 eV per atom. The electronic total energy comes out at -4.345 eV/atom. The calculation puts the formation energy from raw total energies at -1.4221 eV per atom.

Unit cell a=8.6574 b=6.2060 c=8.6577 alpha=90.00 beta=119.84 gamma=90.00
Space group P2_1/m (No. 11)
Unique sites:
Cs (0.1432, 0.2500, 0.3222) [2 per cell]
Cs (0.3210, 0.7500, 0.1432) [2 per cell]
Cs (0.3230, 0.7500, 0.6782) [2 per cell]
Ga (0.1670, 0.2500, 0.8330) [2 per cell]
O (0.0747, 0.7500, 0.2882) [2 per cell]
O (0.2870, 0.2500, 0.0747) [2 per cell]
O (0.2887, 0.2500, 0.7125) [2 per cell]

***

(4)
The following is a PBE-GGA calculation of a geometry-optimized Cu2SnPbS4 structure, from the Alexandria database.

Its total magnetic moment is 0.000 μB/cell. The electronic total energy comes out at -4.372 eV/atom. The calculation puts the formation energy from raw total energies at -0.3200 eV per atom.

Unit cell a=5.9708 b=5.9708 c=10.5619 alpha=90.00 beta=90.00 gamma=90.00
Space group I-42m (No. 121)
Unique sites:
Cu (0.0000, 0.5000, 0.2500) [4 per cell]
Sn (0.0000, 0.0000, 0.0000) [2 per cell]
Pb (0.0000, 0.0000, 0.5000) [2 per cell]
S (0.2209, 0.2209, 0.1517) [8 per cell]

***

(5)
The following is a PBE-GGA calculation of a geometry-optimized Hf2AgRu2 structure, from the Alexandria database.

Its total magnetic moment is 0.000 μB/cell. The electronic total energy comes out at -8.589 eV/atom. As for the formation energy: -1.6 eV/f.u. The calculation puts the density of states at the Fermi level at 0.633 states/eV per atom.

Unit cell a=7.4609 b=7.4609 c=3.2341 alpha=90.00 beta=90.00 gamma=90.00
Space group P4/mbm (No. 127)
Unique sites:
Hf (0.1577, 0.3423, 0.0000) [4 per cell]
Ag (0.0000, 0.0000, 0.5000) [2 per cell]
Ru (0.1394, 0.6394, 0.5000) [4 per cell]

***

(6)
The following is a PBE-GGA calculation of a geometry-optimized PaGaHgPd structure, from the Alexandria database.

Its total magnetic moment is 0.006 μB/cell. The electronic total energy comes out at -4.756 eV/atom. As for the formation energy: -1.0 eV/f.u. The calculation puts the density of states at the Fermi level at 0.819 states/eV per atom.

Unit cell a=6.8770 b=6.8770 c=6.8770 alpha=90.00 beta=90.00 gamma=90.00
Space group F-43m (No. 216)
Unique sites:
Pa (0.0000, 0.0000, 0.0000) [4 per cell]
Ga (0.2500, 0.2500, 0.7500) [4 per cell]
Hg (0.0000, 0.0000, 0.5000) [4 per cell]
Pd (0.2500, 0.2500, 0.2500) [4 per cell]

***

(7)
The following is a PBE-GGA calculation of a geometry-optimized Mn2Sn3Pd7 structure, from the Alexandria database.

Its total magnetic moment is 17.045 μB/cell. The distance to the lowest polymorph of the same formula is 0.165 eV per atom. The electronic total energy comes out at -5.819 eV/atom. As for the formation energy: -3.1 eV/f.u. The calculation puts the density of states at the Fermi level at 0.476 states/eV per atom.

Unit cell a=4.4482 b=21.8430 c=4.4929 alpha=90.00 beta=90.00 gamma=90.00
Space group Cmmm (No. 65)
Unique sites:
Mn (0.0000, 0.1507, 0.0000) [4 per cell]
Sn (0.0000, 0.3422, 0.5000) [4 per cell]
Sn (0.0000, 0.5000, 0.5000) [2 per cell]
Pd (0.0000, 0.0000, 0.0000) [2 per cell]
Pd (0.0000, 0.0810, 0.5000) [4 per cell]
Pd (0.0000, 0.2826, 0.0000) [4 per cell]
Pd (0.0000, 0.4221, 0.0000) [4 per cell]

***

(8)
The following is a PBE-GGA calculation of a geometry-optimized Y8Al2Tc structure, from the Alexandria database.

Its total magnetic moment is 0.000 μB/cell. The electronic total energy comes out at -6.472 eV/atom. As for the formation energy: -1.6 eV/f.u. The calculation puts the density of states at the Fermi level at 0.927 states/eV per atom.

Unit cell a=5.4273 b=6.9083 c=15.8716 alpha=90.00 beta=90.00 gamma=90.00
Space group Immm (No. 71)
Unique sites:
Y (0.0000, 0.0000, 0.1927) [4 per cell]
Y (0.0000, 0.2379, 0.3715) [8 per cell]
Y (0.0000, 0.2470, 0.0000) [4 per cell]
Al (0.0000, 0.5000, 0.1864) [4 per cell]
Tc (0.0000, 0.5000, 0.5000) [2 per cell]

***

(9)
The following is a PBE-GGA calculation of a geometry-optimized SmCdAg structure, from the Alexandria database.

Its total magnetic moment is 0.008 μB/cell. The electronic total energy comes out at -2.974 eV/atom. As for the formation energy: -0.4 eV/f.u. The calculation puts the density of states at the Fermi level at 1.393 states/eV per atom.

Unit cell a=6.8956 b=6.8956 c=6.8956 alpha=90.00 beta=90.00 gamma=90.00
Space group F-43m (No. 216)
Unique sites:
Sm (0.0000, 0.0000, 0.0000) [4 per cell]
Cd (0.0000, 0.0000, 0.5000) [4 per cell]
Ag (0.2500, 0.2500, 0.2500) [4 per cell]

***

(10)
The following is a PBE-GGA calculation of a geometry-optimized CaGePd3 structure, from the Alexandria database.

Its total magnetic moment is 0.000 μB/cell. The distance to the lowest polymorph of the same formula is 1.381 eV per atom. The electronic total energy comes out at -3.681 eV/atom. As for the formation energy: 3.8 eV/f.u. The calculation puts the density of states at the Fermi level at 0.442 states/eV per atom.

Unit cell a=4.9082 b=4.9082 c=4.9082 alpha=90.00 beta=90.00 gamma=90.00
Space group Pm-3m (No. 221)
Unique sites:
Ca (0.0000, 0.0000, 0.0000) [1 per cell]
Ge (0.5000, 0.5000, 0.5000) [1 per cell]
Pd (0.0000, 0.0000, 0.5000) [3 per cell]

***

(11)
The following is a PBE-GGA calculation of a geometry-optimized SrThSe2 structure, from the Alexandria database.

Its total magnetic moment is 0.000 μB/cell. The distance to the lowest polymorph of the same formula is 0.000 eV per atom. The electronic total energy comes out at -5.726 eV/atom. The calculation puts the formation energy from raw total energies at -1.7085 eV per atom. The calculation puts the density of states at the Fermi level at 0.642 states/eV per atom.

Unit cell a=4.2046 b=4.2046 c=22.0367 alpha=90.00 beta=90.00 gamma=120.00
Space group R-3m (No. 166, hexagonal axes)
Unique sites:
Sr (0.0000, 0.0000, 0.0000) [3 per cell]
Th (0.0000, 0.0000, 0.5000) [3 per cell]
Se (0.0000, 0.0000, 0.2478) [6 per cell]

***

(12)
The following is a PBE-GGA calculation of a geometry-optimized La4GeN2 structure, from the Alexandria database.

Its total magnetic moment is 0.000 μB/cell. The distance to the lowest polymorph of the same formula is 0.000 eV per atom. The electronic total energy comes out at -6.860 eV/atom. The calculation puts the formation energy from raw total energies at -1.0064 eV per atom. The calculation puts the density of states at the Fermi level at 0.770 states/eV per atom.

Unit cell a=4.0147 b=12.5824 c=12.8962 alpha=90.00 beta=90.00 gamma=90.00
Space group Cmcm (No. 63)
Unique sites:
La (0.0000, 0.0000, 0.0000) [4 per cell]
La (0.0000, 0.2690, 0.1085) [8 per cell]
La (0.0000, 0.4221, 0.7500) [4 per cell]
Ge (0.0000, 0.0974, 0.7500) [4 per cell]
N (0.0000, 0.3586, 0.5559) [8 per cell]